Entry 1:
VASP calculation (PBE) on a relaxed InCuBi2 crystal.

Unit cell a=3.5119 b=3.5119 c=8.5270 alpha=90.00 beta=90.00 gamma=90.00
Space group P4/mmm (No. 123)
One atom of each set of equivalent atoms:
In 0.0000 0.0000 0.0000 x1
Cu 0.0000 0.0000 0.5000 x1
Bi 0.5000 0.5000 0.3062 x2

Computed properties:
Formation energy   0.59 eV per formula unit
Uncorrected energy   -3.50 eV per atom

Entry 2:
VASP calculation (PBE) on a relaxed RuPt2Cl crystal.

Unit cell a=7.7549 b=4.4852 c=4.4851 alpha=90.00 beta=125.24 gamma=90.00
Space group Cm (No. 8)
One atom of each set of equivalent atoms:
Ru 0.0000 0.0000 0.0000 x2
Pt 0.0000 0.5000 0.5019 x2
Pt 0.2500 0.5000 0.2507 x2
Cl 0.2500 0.0000 0.7505 x2

Computed properties:
Raw formation energy   0.71 eV per atom
ΔE to the lowest computed polymorph   475 meV per atom
Uncorrected energy   -5.09 eV per atom

Entry 3:
VASP calculation (PBE) on a relaxed SmPaCuRe crystal.

Unit cell a=6.9636 b=6.9636 c=6.9636 alpha=90.00 beta=90.00 gamma=90.00
Space group F-43m (No. 216)
One atom of each set of equivalent atoms:
Sm 0.0000 0.0000 0.0000 x4
Pa 0.0000 0.0000 0.5000 x4
Cu 0.2500 0.2500 0.2500 x4
Re 0.2500 0.2500 0.7500 x4

Computed properties:
Formation energy   0.46 eV per formula unit
Uncorrected energy   -7.58 eV per atom

Entry 4:
VASP calculation (PBE) on a relaxed CaZrGe3 crystal.

Unit cell a=5.0794 b=5.0794 c=5.0794 alpha=90.00 beta=90.00 gamma=90.00
Space group Pm-3m (No. 221)
One atom of each set of equivalent atoms:
Ca 0.0000 0.0000 0.0000 x1
Zr 0.5000 0.5000 0.5000 x1
Ge 0.0000 0.0000 0.5000 x3

Computed properties:
Formation energy   4.90 eV per formula unit
Uncorrected energy   -3.90 eV per atom

Entry 5:
VASP calculation (PBE) on a relaxed MnHg2Cl crystal.

Unit cell a=3.1763 b=4.8488 c=13.7436 alpha=90.00 beta=90.00 gamma=90.00
Space group Imm2 (No. 44)
One atom of each set of equivalent atoms:
Mn 0.0000 0.0000 0.0000 x2
Hg 0.0000 0.0000 0.4521 x2
Hg 0.0000 0.5000 0.3060 x2
Cl 0.0000 0.5000 0.6330 x2

Computed properties:
Raw formation energy   -0.11 eV per atom
ΔE to the lowest computed polymorph   67 meV per atom
Uncorrected energy   -3.01 eV per atom

Here are the calculated magnetization numbers, same order: 0.00; 3.15; 0.00; 0.00; 8.82 (μB/cell).